Record 1
This record from the Alexandria database describes a geometry-optimized ZrPt2Rh2 structure. The functional is PBE-GGA.

Formation energy from the elements (eV/atom): -0.35
Energy (eV/atom): -7.42

abc: 3.6430 3.6430 7.0720
angles: 104.93 104.93 90.00
Positions (direct):
Zr 0.0000 0.0000 0.0000
Pt 0.4010 0.4010 0.8020
Pt 0.5990 0.5990 0.1980
Rh 0.2500 0.7500 0.5000
Rh 0.7500 0.2500 0.5000

=====

Record 2
This record from the Alexandria database describes a geometry-optimized ReSbPd3 structure. The functional is PBE-GGA.

Energy relative to the elements, uncorrected (meV per atom): 1282
Energy (eV/atom): -5.15

abc: 4.8674 4.8674 4.8674
angles: 90.00 90.00 90.00
Positions (direct):
Re 0.5000 0.5000 0.5000
Pd 0.0000 0.5000 0.0000
Pd 0.0000 0.0000 0.5000
Pd 0.5000 0.0000 0.0000
Sb 0.0000 0.0000 0.0000

=====

Record 3
This record from the Alexandria database describes a geometry-optimized CoBr structure. The functional is PBE-GGA.

Energy relative to the elements, uncorrected (meV per atom): 213
Energy (eV/atom): -4.18

abc: 3.5174 11.0287 8.9423
angles: 90.00 90.00 90.00
Positions (direct):
Co 0.0000 0.6827 0.0000
Co 0.0000 0.3173 0.0000
Co 0.0000 0.1827 0.5000
Co 0.0000 0.8173 0.5000
Co 0.5000 0.6827 0.5000
Co 0.5000 0.3173 0.5000
Co 0.5000 0.1827 0.0000
Co 0.5000 0.8173 0.0000
Br 0.0000 0.0000 0.0000
Br 0.0000 0.5000 0.5000
Br 0.5000 0.0000 0.5000
Br 0.5000 0.5000 0.0000
Br 0.2500 0.2500 0.2500
Br 0.2500 0.7500 0.7500
Br 0.7500 0.2500 0.7500
Br 0.7500 0.7500 0.2500

=====

Record 4
This record from the Alexandria database describes a geometry-optimized GdTmScRu structure. The functional is PBE-GGA.

Formation energy from the elements (eV/atom): -0.04
Energy (eV/atom): -8.58

abc: 5.0305 5.0305 5.0305
angles: 60.00 60.00 60.00
Positions (direct):
Gd 0.5000 0.5000 0.5000
Ru 0.2500 0.2500 0.2500
Tm 0.0000 0.0000 0.0000
Sc 0.7500 0.7500 0.7500

=====

Record 5
This record from the Alexandria database describes a geometry-optimized Er3Mg2Hg structure. The functional is PBE-GGA.

Formation energy from the elements (eV/atom): -0.21
Energy (eV/atom): -3.07

abc: 3.7679 3.7679 11.0041
angles: 90.00 90.00 90.00
Positions (direct):
Er 0.0000 0.0000 0.0000
Er 0.0000 0.0000 0.6616
Er 0.0000 0.0000 0.3384
Mg 0.5000 0.5000 0.8342
Mg 0.5000 0.5000 0.1658
Hg 0.5000 0.5000 0.5000

=====

Record 6
This record from the Alexandria database describes a geometry-optimized ZnSbCl2 structure. The functional is PBE-GGA.

Energy relative to the elements, uncorrected (meV per atom): -257
Energy (eV/atom): -2.53

abc: 3.1195 3.1195 11.5037
angles: 90.00 90.00 90.00
Positions (direct):
Sb 0.5000 0.5000 0.2500
Zn 0.5000 0.5000 0.7500
Cl 0.0000 0.0000 0.8817
Cl 0.0000 0.0000 0.6183

=====

Record 7
This record from the Alexandria database describes a geometry-optimized Ba2CaIr2 structure. The functional is PBE-GGA.

Formation energy from the elements (eV/atom): -0.02
Energy (eV/atom): -4.73

abc: 7.8190 7.8190 4.9535
angles: 90.00 90.00 90.00
Positions (direct):
Ca 0.0000 0.0000 0.0000
Ca 0.5000 0.5000 0.0000
Ir 0.3874 0.8874 0.0000
Ir 0.8874 0.6126 0.0000
Ir 0.6126 0.1126 0.0000
Ir 0.1126 0.3874 0.0000
Ba 0.1731 0.6731 0.5000
Ba 0.6731 0.8269 0.5000
Ba 0.8269 0.3269 0.5000
Ba 0.3269 0.1731 0.5000

=====

Record 8
This record from the Alexandria database describes a geometry-optimized AuSeCl structure. The functional is PBE-GGA.

Energy relative to the elements, uncorrected (meV per atom): 236
Energy (eV/atom): -2.63

abc: 6.8644 6.8644 6.8644
angles: 156.77 143.84 43.43
Positions (direct):
Au 0.0488 0.0488 0.0000
Cl 0.3320 0.3320 0.0000
Se 0.6192 0.6192 0.0000

=====

Record 9
This record from the Alexandria database describes a geometry-optimized AlRhAu4 structure. The functional is PBE-GGA.

Formation energy from the elements (eV/atom): 0.28
Energy (eV/atom): -3.76

abc: 5.4004 5.4004 5.4004
angles: 60.00 60.00 60.00
Positions (direct):
Al 0.0000 0.0000 0.0000
Rh 0.7500 0.7500 0.7500
Au 0.8748 0.3751 0.3751
Au 0.3751 0.3751 0.8748
Au 0.3751 0.8748 0.3751
Au 0.3751 0.3751 0.3751

=====

Record 10
This record from the Alexandria database describes a geometry-optimized MoOsS3 structure. The functional is PBE-GGA.

Energy relative to the elements, uncorrected (meV per atom): 1165
Energy (eV/atom): -5.72

abc: 4.6541 4.6541 4.6541
angles: 90.00 90.00 90.00
Positions (direct):
Mo 0.0000 0.0000 0.0000
Os 0.5000 0.5000 0.5000
S 0.0000 0.5000 0.0000
S 0.0000 0.0000 0.5000
S 0.5000 0.0000 0.0000

=====

Record 11
This record from the Alexandria database describes a geometry-optimized BSbPd3 structure. The functional is PBE-GGA.

Energy relative to the elements, uncorrected (meV per atom): -179
Energy (eV/atom): -5.45

abc: 4.2872 4.2872 4.2872
angles: 90.00 90.00 90.00
Positions (direct):
Sb 0.5000 0.5000 0.5000
B 0.0000 0.0000 0.0000
Pd 0.0000 0.5000 0.0000
Pd 0.0000 0.0000 0.5000
Pd 0.5000 0.0000 0.0000

=====

Record 12
This record from the Alexandria database describes a geometry-optimized KLi2PmBr6 structure. The functional is PBE-GGA.

Energy relative to the elements, uncorrected (meV per atom): -1695
Energy (eV/atom): -3.67

abc: 7.3389 7.3385 7.9036
angles: 62.34 62.34 59.99
Positions (direct):
K 0.8018 0.8019 0.5944
Li 0.5174 0.5172 0.4482
Li 0.0103 0.0103 0.9693
Pm 0.3195 0.3195 0.0415
Br 0.6054 0.2566 0.2362
Br 0.2566 0.9017 0.2360
Br 0.9018 0.6055 0.2360
Br 0.3397 0.7419 0.7512
Br 0.7419 0.1673 0.7511
Br 0.1673 0.3398 0.7512

=====

Record 13
This record from the Alexandria database describes a geometry-optimized Pa2AsP2S2 structure. The functional is PBE-GGA.

Energy relative to the elements, uncorrected (meV per atom): -732
Energy (eV/atom): -6.83

abc: 4.2926 4.2926 11.4455
angles: 90.00 90.00 120.00
Positions (direct):
Pa 0.6667 0.3333 0.3218
Pa 0.3333 0.6667 0.6782
As 0.0000 0.0000 0.0000
P 0.0000 0.0000 0.7864
P 0.0000 0.0000 0.2136
S 0.6667 0.3333 0.5809
S 0.3333 0.6667 0.4191

=====

Record 14
This record from the Alexandria database describes a geometry-optimized LiY3Co structure. The functional is PBE-GGA.

Formation energy from the elements (eV/atom): 0.01
Energy (eV/atom): -5.68

abc: 5.2523 5.2523 5.2523
angles: 90.00 90.00 90.00
Positions (direct):
Y 0.0000 0.5000 0.0000
Y 0.0000 0.0000 0.5000
Y 0.5000 0.0000 0.0000
Co 0.0000 0.0000 0.0000
Li 0.5000 0.5000 0.5000

=====

Record 15
This record from the Alexandria database describes a geometry-optimized O2F13 structure. The functional is PBE-GGA.

Energy relative to the elements, uncorrected (meV per atom): 334
Energy (eV/atom): -1.95

abc: 5.6553 5.6553 9.0777
angles: 71.85 71.85 60.00
Positions (direct):
O 0.7091 0.7091 0.8726
O 0.2909 0.2909 0.1274
F 0.5000 0.5000 0.5000
F 0.0310 0.5705 0.8280
F 0.5705 0.5705 0.8280
F 0.5705 0.0310 0.8280
F 0.4295 0.9690 0.1720
F 0.9690 0.4295 0.1720
F 0.4295 0.4295 0.1720
F 0.0887 0.7481 0.4150
F 0.7481 0.7481 0.4150
F 0.7481 0.0887 0.4150
F 0.2519 0.9113 0.5850
F 0.9113 0.2519 0.5850
F 0.2519 0.2519 0.5850

=====

Record 16
This record from the Alexandria database describes a geometry-optimized Tm2Ge3Pd8 structure. The functional is PBE-GGA.

Formation energy from the elements (eV/atom): -0.61
Energy (eV/atom): -5.56

abc: 7.8704 5.5333 7.0297
angles: 113.18 122.12 90.00
Positions (direct):
Tm 0.2463 0.3664 0.7329
Tm 0.7537 0.6336 0.2671
Ge 0.5000 0.0000 0.0000
Ge 0.0000 0.2572 0.0000
Ge 0.0000 0.7428 0.0000
Pd 0.1989 0.7091 0.4183
Pd 0.8011 0.2909 0.5817
Pd 0.9017 0.1182 0.2364
Pd 0.0983 0.8818 0.7636
Pd 0.5921 0.6273 0.7601
Pd 0.5921 0.1328 0.7601
Pd 0.4079 0.8672 0.2399
Pd 0.4079 0.3727 0.2399

=====

Record 17
This record from the Alexandria database describes a geometry-optimized Ta2NiH5 structure. The functional is PBE-GGA.

Energy (eV/atom): -5.88

abc: 2.9309 8.8007 9.8018
angles: 90.00 90.00 90.00
Positions (direct):
Ta 0.2500 0.6482 0.0680
Ta 0.7500 0.3518 0.9320
Ta 0.7500 0.8518 0.5680
Ta 0.2500 0.1482 0.4320
Ta 0.2500 0.0768 0.7684
Ta 0.7500 0.9232 0.2316
Ta 0.7500 0.4232 0.2684
Ta 0.2500 0.5768 0.7316
Ni 0.7500 0.8262 0.8620
Ni 0.2500 0.1738 0.1380
Ni 0.2500 0.6738 0.3620
Ni 0.7500 0.3262 0.6380
H 0.2500 0.7331 0.8811
H 0.7500 0.2669 0.1189
H 0.7500 0.7669 0.3811
H 0.2500 0.2331 0.6189
H 0.2500 0.4938 0.3944
H 0.7500 0.5062 0.6056
H 0.7500 0.0062 0.8944
H 0.2500 0.9938 0.1056
H 0.2500 0.6958 0.5468
H 0.7500 0.3042 0.4532
H 0.7500 0.8042 0.0468
H 0.2500 0.1958 0.9532
H 0.7500 0.7191 0.7237
H 0.2500 0.2809 0.2763
H 0.2500 0.7809 0.2237
H 0.7500 0.2191 0.7763
H 0.2500 0.9946 0.5856
H 0.7500 0.0054 0.4144
H 0.7500 0.5054 0.0856
H 0.2500 0.4946 0.9144

=====

Record 18
This record from the Alexandria database describes a geometry-optimized Ta3Cl structure. The functional is PBE-GGA.

Energy relative to the elements, uncorrected (meV per atom): 573
Energy (eV/atom): -8.78

abc: 4.8169 4.8169 3.1900
angles: 90.00 90.00 103.12
Positions (direct):
Cl 0.0000 0.0000 0.0000
Ta 0.0000 0.5000 0.5000
Ta 0.5000 0.0000 0.5000
Ta 0.5000 0.5000 0.0000

=====

Record 19
This record from the Alexandria database describes a geometry-optimized Ca2NdGaN structure. The functional is PBE-GGA.

Energy relative to the elements, uncorrected (meV per atom): -700
Energy (eV/atom): -4.72

abc: 5.0018 4.8535 4.8535
angles: 90.00 90.00 90.00
Positions (direct):
Ca 0.0000 0.0000 0.5000
Ca 0.0000 0.5000 0.0000
Nd 0.5000 0.0000 0.0000
Ga 0.5000 0.5000 0.5000
N 0.0000 0.0000 0.0000

=====

Record 20
This record from the Alexandria database describes a geometry-optimized Pu2CdGa3Pt4 structure. The functional is PBE-GGA.

Formation energy from the elements (eV/atom): -0.67
Energy (eV/atom): -6.96

abc: 4.1064 4.1064 11.6340
angles: 90.00 90.00 90.00
Positions (direct):
Pu 0.5000 0.0000 0.2476
Pu 0.0000 0.5000 0.7524
Cd 0.5000 0.5000 0.5000
Ga 0.0000 0.0000 0.5000
Ga 0.5000 0.0000 0.8722
Ga 0.0000 0.5000 0.1278
Pt 0.5000 0.5000 0.0000
Pt 0.0000 0.0000 0.0000
Pt 0.5000 0.0000 0.6592
Pt 0.0000 0.5000 0.3408

=====

Number 1: ρ 13.055 Mg/m³, spin magnetization 0.00 Bohr magnetons per cell. Number 2: ρ 9.032 Mg/m³, spin magnetization 4.23 Bohr magnetons per cell. Number 3: ρ 5.317 Mg/m³, spin magnetization 16.25 Bohr magnetons per cell. Number 4: ρ 8.711 Mg/m³, spin magnetization 7.08 Bohr magnetons per cell. Number 5: ρ 7.982 Mg/m³, spin magnetization 0.00 Bohr magnetons per cell. Number 6: ρ 3.828 Mg/m³, spin magnetization 0.00 Bohr magnetons per cell. Number 7: ρ 7.667 Mg/m³, spin magnetization 0.54 Bohr magnetons per cell. Number 8: ρ 6.884 Mg/m³, spin magnetization 0.00 Bohr magnetons per cell. Number 9: ρ 13.684 Mg/m³, spin magnetization 0.00 Bohr magnetons per cell. Number 10: ρ 6.298 Mg/m³, spin magnetization 4.25 Bohr magnetons per cell. Number 11: ρ 9.521 Mg/m³, spin magnetization 0.00 Bohr magnetons per cell. Number 12: ρ 3.615 Mg/m³, spin magnetization 0.00 Bohr magnetons per cell. Number 13: ρ 6.028 Mg/m³, spin magnetization 0.00 Bohr magnetons per cell. Number 14: ρ 3.812 Mg/m³, spin magnetization 0.00 Bohr magnetons per cell. Number 15: ρ 1.975 Mg/m³, spin magnetization 7.02 Bohr magnetons per cell. Number 16: ρ 10.178 Mg/m³, spin magnetization 0.00 Bohr magnetons per cell. Number 17: ρ 11.182 Mg/m³, spin magnetization 0.00 Bohr magnetons per cell. Number 18: ρ 13.322 Mg/m³, spin magnetization 0.00 Bohr magnetons per cell. Number 19: ρ 4.343 Mg/m³, spin magnetization 0.01 Bohr magnetons per cell. Number 20: ρ 13.458 Mg/m³, spin magnetization 10.84 Bohr magnetons per cell.